VASP calculation (GGA-PBE) on a relaxed structure of Ho12ZnRh6.

Cell lengths 8.1886, 8.1886, 8.1886 Å; angles 101.72, 101.72, 101.72 degrees
Closest atoms and distances in Å follow each position.
Positions (direct):
Ho: 0.0673 0.9282 0.6715  2 Rh 2.71-2.75, 1 Zn 2.82
Ho: 0.0718 0.3285 0.9327  2 Rh 2.71-2.75, 1 Zn 2.82
Ho: 0.1740 0.5656 0.4171  4 Rh 2.78-2.94
Ho: 0.3285 0.9327 0.0718  2 Rh 2.71-2.75, 1 Zn 2.82
Ho: 0.4171 0.1740 0.5656  4 Rh 2.78-2.94
Ho: 0.4344 0.5829 0.8260  4 Rh 2.78-2.94
Ho: 0.5656 0.4171 0.1740  4 Rh 2.78-2.94
Ho: 0.5829 0.8260 0.4344  4 Rh 2.78-2.94
Ho: 0.6715 0.0673 0.9282  2 Rh 2.71-2.75, 1 Zn 2.82
Ho: 0.8260 0.4344 0.5829  4 Rh 2.78-2.94
Ho: 0.9282 0.6715 0.0673  2 Rh 2.71-2.75, 1 Zn 2.82
Ho: 0.9327 0.0718 0.3285  2 Rh 2.71-2.75, 1 Zn 2.82
Zn: 0.0000 0.0000 0.0000  6 Ho 2.82
Rh: 0.1395 0.3081 0.6153  6 Ho 2.71-2.94
Rh: 0.3081 0.6153 0.1395  6 Ho 2.71-2.94
Rh: 0.3847 0.8605 0.6919  6 Ho 2.71-2.94
Rh: 0.6153 0.1395 0.3081  6 Ho 2.71-2.94
Rh: 0.6919 0.3847 0.8605  6 Ho 2.71-2.94
Rh: 0.8605 0.6919 0.3847  6 Ho 2.71-2.94

Values from the calculation:
For the energy relative to the elements, the calculation gives -0.528 eV per atom. The symmetry is No. 148.